Entry i
Here is a relaxed Hf2RhBr crystal from the Alexandria database. Energies are from PBE.

Values from the calculation:
total magnetic moment	0.000	μB/f.u.

Lattice parameters (Å, degrees): 6.718 6.718 6.718 90.00 90.00 90.00
Space group Fm-3m (No. 225)
Inequivalent atoms, fractional coordinates:
1 Hf 0.250 0.250 0.250 x8
2 Rh 0.000 0.000 0.000 x4
3 Br 0.000 0.000 0.500 x4



Entry ii
Here is a relaxed Hf2RhBr crystal from the Alexandria database. Energies are from PBE.

Values from the calculation:
total magnetic moment	0.000	μB/f.u.

Lattice parameters (Å, degrees): 5.792 5.792 12.987 90.00 90.00 90.00
Space group I-42d (No. 122)
Inequivalent atoms, fractional coordinates:
1 Hf 0.209 0.250 0.125 x8
2 Rh 0.000 0.000 0.000 x4
3 Br 0.000 0.000 0.500 x4



Verdict on stability: entry ii comes out at the bottom.



Entry i
Here is a relaxed HfRhSeBr2 crystal from the Alexandria database. Energies are from PBE.

Values from the calculation:
total magnetic moment	0.187	μB/f.u.

Lattice parameters (Å, degrees): 4.893 4.893 4.988 90.00 90.00 90.00
Space group P4/mmm (No. 123)
Inequivalent atoms, fractional coordinates:
1 Hf 0.000 0.000 0.000 x1
2 Rh 0.500 0.500 0.500 x1
3 Se 0.500 0.500 0.000 x1
4 Br 0.000 0.500 0.500 x2



Entry ii
Here is a relaxed HfRhSeBr2 crystal from the Alexandria database. Energies are from PBE.

Values from the calculation:
total magnetic moment	1.526	μB/f.u.

Lattice parameters (Å, degrees): 5.228 5.228 5.171 90.00 90.00 90.00
Space group P4/mmm (No. 123)
Inequivalent atoms, fractional coordinates:
1 Hf 0.000 0.000 0.000 x1
2 Rh 0.500 0.500 0.500 x1
3 Se 0.000 0.000 0.500 x1
4 Br 0.000 0.500 0.000 x2



Verdict on stability: entry i comes out at the bottom.



Entry i
Here is a relaxed HfRuSe2Br crystal from the Alexandria database. Energies are from PBE.

Values from the calculation:
total magnetic moment	3.103	μB/f.u.

Lattice parameters (Å, degrees): 5.171 5.171 5.205 90.00 90.00 90.00
Space group P4/mmm (No. 123)
Inequivalent atoms, fractional coordinates:
1 Hf 0.000 0.000 0.000 x1
2 Ru 0.500 0.500 0.500 x1
3 Se 0.000 0.500 0.000 x2
4 Br 0.000 0.000 0.500 x1



Entry ii
Here is a relaxed HfRuSe2Br crystal from the Alexandria database. Energies are from PBE.

Values from the calculation:
total magnetic moment	0.000	μB/f.u.

Lattice parameters (Å, degrees): 4.856 4.856 4.836 90.00 90.00 90.00
Space group P4/mmm (No. 123)
Inequivalent atoms, fractional coordinates:
1 Hf 0.000 0.000 0.000 x1
2 Ru 0.500 0.500 0.500 x1
3 Se 0.000 0.500 0.500 x2
4 Br 0.500 0.500 0.000 x1



Verdict on stability: entry ii comes out at the bottom.